Density functional theory data (PBE) for B2P2S after structural relaxation.

Cell and atoms, written as extended XYZ:
```
5
Lattice="5.295 0.000 0.000 0.000 3.235 0.000 -1.040 0.000 5.232" Properties=species:S:1:pos:R:3 pbc="T T T"
B 0.000 0.000 0.000
B 1.783 0.000 0.399
P 2.493 1.618 1.279
P 4.400 1.618 0.334
S 0.241 0.000 3.868
```

Results
ρ   2.143 g cm⁻³
ΔE to the lowest computed polymorph   234 meV per atom
Space-group type   Pm (6)
Energy relative to the elements, uncorrected   0.082 eV/atom
Total energy   -5.579 eV/atom
Total magnetic moment   0.00 μB/f.u.